*one*
# Tm3Lu3Sb2Ir (PBE-GGA, optimized geometry)
# Crystal system: hexagonal
data_Tm3Lu3Sb2Ir
_symmetry_space_group_name_H-M 'P -6 2 m'
_symmetry_Int_Tables_number 189
_symmetry_space_group_name_Hall 'P -6 -2'
_cell_length_a 8.0786
_cell_length_b 8.0786
_cell_length_c 4.0980
_cell_angle_alpha 90.00
_cell_angle_beta 90.00
_cell_angle_gamma 120.00
loop_
_atom_site_label
_atom_site_type_symbol
_atom_site_fract_x
_atom_site_fract_y
_atom_site_fract_z
Tm1 Tm 0.0000 0.6106 0.0000
Lu1 Lu 0.0000 0.2401 0.5000
Sb1 Sb 0.3333 0.6667 0.5000
Ir1 Ir 0.0000 0.0000 0.0000

---

*two*
# Tm3Lu3Sb2Ir (PBE-GGA, optimized geometry)
# Crystal system: hexagonal
data_Tm3Lu3Sb2Ir
_symmetry_space_group_name_H-M 'P -6 2 m'
_symmetry_Int_Tables_number 189
_symmetry_space_group_name_Hall 'P -6 -2'
_cell_length_a 8.0943
_cell_length_b 8.0943
_cell_length_c 4.1014
_cell_angle_alpha 90.00
_cell_angle_beta 90.00
_cell_angle_gamma 120.00
loop_
_atom_site_label
_atom_site_type_symbol
_atom_site_fract_x
_atom_site_fract_y
_atom_site_fract_z
Tm1 Tm 0.0000 0.2408 0.0000
Lu1 Lu 0.0000 0.6105 0.5000
Sb1 Sb 0.3333 0.6667 0.0000
Ir1 Ir 0.0000 0.0000 0.5000

---

Computed stability ranking, most favorable first: *one*, *two*